# GGA-PBEsol LiBe2AuO, optimized geometry
data_LiBe2AuO
_symmetry_space_group_name_H-M 'P 4/m m m'
_symmetry_Int_Tables_number 123
_symmetry_space_group_name_Hall '-P 4 2'
_cell_length_a 3.541
_cell_length_b 3.541
_cell_length_c 3.928
_cell_angle_alpha 90.00
_cell_angle_beta 90.00
_cell_angle_gamma 90.00
loop_
_atom_site_label
_atom_site_type_symbol
_atom_site_fract_x
_atom_site_fract_y
_atom_site_fract_z
_atom_site_occupancy
Li1 Li 0.000 0.000 0.000 1
Be1 Be 0.000 0.500 0.500 1
Au1 Au 0.500 0.500 0.000 1
O1 O 0.000 0.000 0.500 1
# Crystal system ... tetragonal
# Formation energy without anion corrections ... -0.84 eV per atom
# Final energy ... -4.672 eV/atom
# Size of the total moment ... 0.0 Bohr magnetons per cell